Here is an optimized crystal structure of TiVPd from the Alexandria database. Energies are from PBE-GGA.

- calculated formation energy (eV per atom) = -0.071
- magnetic moment (μB/cell) = 0.00
- space group = No. 63

Unit cell a=8.3117 b=8.3117 c=4.1207 alpha=90.00 beta=90.00 gamma=161.29
Closest atoms and distances in Å follow each position.
Element x y z (fractional)
1 Ti 0.0535 0.9465 0.7500  4 Pd 2.69, 4 Ti 2.70-2.71, 1 V 2.78
2 Ti 0.9465 0.0535 0.2500  4 Pd 2.69, 4 Ti 2.70-2.71, 1 V 2.78
3 V 0.2229 0.7771 0.7500  1 Pd 2.58, 6 V 2.62-2.70, 1 Ti 2.78
4 V 0.7771 0.2229 0.2500  1 Pd 2.58, 6 V 2.62-2.70, 1 Ti 2.78
5 Pd 0.3800 0.6200 0.7500  1 V 2.58, 4 Ti 2.69, 2 Pd 2.70
6 Pd 0.6200 0.3800 0.2500  1 V 2.58, 4 Ti 2.69, 2 Pd 2.70